Entry 1:
The following is a DFT calculation (PBE-GGA) of a geometry-optimized Ce2ScCo9 structure. Values from VASP.

Geometry as Quantum ESPRESSO input:
```
&SYSTEM
  ibrav = 0, nat = 12, ntyp = 3
/
ATOMIC_SPECIES
Ce 140.12 Ce.upf
Co 58.93 Co.upf
Sc 44.96 Sc.upf
CELL_PARAMETERS angstrom
-3.4540 -3.2810 -0.8238
1.0462 -4.7155 0.2076
-2.6713 -2.7247 7.8659
ATOMIC_POSITIONS crystal
Ce 0.1386 0.1386 0.5841
Ce 0.8614 0.8614 0.4159
Co 0.3328 0.3328 0.0017
Co 0.4220 0.9191 0.2369
Co 0.6672 0.6672 0.9983
Co 0.5000 0.5000 0.5000
Co 0.9191 0.4220 0.2369
Co 0.0809 0.5780 0.7631
Co 0.5780 0.5780 0.7631
Co 0.5780 0.0809 0.7631
Co 0.4220 0.4220 0.2369
Sc 0.0000 0.0000 0.0000
```

Summary:
ΔE_f in eV per atom: -0.1872
Total moment in μB per formula unit: 7.6

***

Entry 2:
The following is a DFT calculation (PBE-GGA) of a geometry-optimized CeSc2Co9 structure. Values from VASP.

Geometry as Quantum ESPRESSO input:
```
&SYSTEM
  ibrav = 0, nat = 12, ntyp = 3
/
ATOMIC_SPECIES
Co 58.93 Co.upf
Sc 44.96 Sc.upf
Ce 140.12 Ce.upf
CELL_PARAMETERS angstrom
0.2211 -2.5744 4.1297
2.0749 -4.4075 0.0145
7.8225 1.0005 3.0781
ATOMIC_POSITIONS crystal
Co 0.5876 0.5876 0.7456
Co 0.6648 0.6648 0.0055
Co 0.5876 0.0792 0.7456
Co 0.4124 0.9208 0.2544
Co 0.5000 0.5000 0.5000
Co 0.0792 0.5876 0.7456
Co 0.4124 0.4124 0.2544
Co 0.3352 0.3352 0.9945
Co 0.9208 0.4124 0.2544
Sc 0.8584 0.8584 0.4247
Sc 0.1416 0.1416 0.5753
Ce 0.0000 0.0000 0.0000
```

Summary:
ΔE_f in eV per atom: -0.2472
Total moment in μB per formula unit: 9.3

***

Q: Number 2 is which compound?
A: CeSc2Co9

***

What did the second record say?
The following is a DFT calculation (PBE-GGA) of a geometry-optimized CeSc2Co9 structure. Values from VASP.

Geometry as Quantum ESPRESSO input:
```
&SYSTEM
  ibrav = 0, nat = 12, ntyp = 3
/
ATOMIC_SPECIES
Co 58.93 Co.upf
Sc 44.96 Sc.upf
Ce 140.12 Ce.upf
CELL_PARAMETERS angstrom
0.2211 -2.5744 4.1297
2.0749 -4.4075 0.0145
7.8225 1.0005 3.0781
ATOMIC_POSITIONS crystal
Co 0.5876 0.5876 0.7456
Co 0.6648 0.6648 0.0055
Co 0.5876 0.0792 0.7456
Co 0.4124 0.9208 0.2544
Co 0.5000 0.5000 0.5000
Co 0.0792 0.5876 0.7456
Co 0.4124 0.4124 0.2544
Co 0.3352 0.3352 0.9945
Co 0.9208 0.4124 0.2544
Sc 0.8584 0.8584 0.4247
Sc 0.1416 0.1416 0.5753
Ce 0.0000 0.0000 0.0000
```

Summary:
ΔE_f in eV per atom: -0.2472
Total moment in μB per formula unit: 9.3